Compound: Ca2Zn2GaRh5
Source: Alexandria via LeMat-Bulk
Functional: GGA-PBE
Structure: relaxed

Unit cell a=10.059 b=10.059 c=3.311 alpha=90.00 beta=90.00 gamma=90.00
Space group P4/mbm (No. 127)
Unique sites:
1 Ca 0.172 0.328 0.000 x4
2 Zn 0.131 0.631 0.000 x4
3 Ga 0.000 0.000 0.000 x2
4 Rh 0.000 0.500 0.500 x2
5 Rh 0.059 0.807 0.500 x8

Spin magnetization: 0.0000 μB per atom
Energy: -101.0 eV per cell
DOS at the Fermi energy: 0.78 states/eV/atom
E_form: -415 meV/atom

Compound: CaZnGa2Rh
Source: Alexandria via LeMat-Bulk
Functional: GGA-PBE
Structure: relaxed

Unit cell a=4.758 b=4.758 c=4.846 alpha=90.00 beta=90.00 gamma=90.00
Space group P4/mmm (No. 123)
Unique sites:
1 Ca 0.000 0.000 0.000 x1
2 Zn 0.500 0.500 0.000 x1
3 Ga 0.000 0.500 0.500 x2
4 Rh 0.500 0.500 0.500 x1

Spin magnetization: 0.0000 μB per atom
Energy: -18.5 eV per cell
DOS at the Fermi energy: 0.72 states/eV/atom
E_form: -359 meV/atom

Compound: CaGaRu
Source: Alexandria via LeMat-Bulk
Functional: GGA-PBE
Structure: relaxed

Unit cell a=4.533 b=4.533 c=6.387 alpha=90.00 beta=90.00 gamma=90.00
Space group P4/nmm (No. 129, origin choice 2)
Unique sites:
1 Ca 0.250 0.250 0.189 x2
2 Ga 0.250 0.250 0.666 x2
3 Ru 0.250 0.750 0.500 x2

Spin magnetization: 0.0000 μB per atom
Energy: -30.7 eV per cell
DOS at the Fermi energy: 0.86 states/eV/atom
E_form: -347 meV/atom

Compound: CaGaRu
Source: Alexandria via LeMat-Bulk
Functional: GGA-PBE
Structure: relaxed

Unit cell a=7.503 b=6.114 c=5.561 alpha=90.00 beta=100.55 gamma=90.00
Space group P2_1/c (No. 14)
Unique sites:
1 Ca 0.188 0.066 0.302 x4
2 Ga 0.253 0.583 0.313 x4
3 Ru 0.494 0.686 0.668 x4

Spin magnetization: 0.0000 μB per atom
Energy: -58.9 eV per cell
DOS at the Fermi energy: 0.67 states/eV/atom
E_form: -138 meV/atom

Compound: Ca4GaRu
Source: Alexandria via LeMat-Bulk
Functional: GGA-PBE
Structure: relaxed

Unit cell a=9.119 b=13.970 c=5.535 alpha=90.00 beta=108.85 gamma=90.00
Space group C2/c (No. 15)
Unique sites:
1 Ca 0.118 0.174 0.065 x8
2 Ca 0.199 0.428 0.348 x8
3 Ga 0.000 0.367 0.750 x4
4 Ru 0.000 0.001 0.250 x4

Spin magnetization: 0.0000 μB per atom
Energy: -84.4 eV per cell
DOS at the Fermi energy: 0.58 states/eV/atom
E_form: -133 meV/atom

Compound: Ca2Ga9Ru6
Source: Alexandria via LeMat-Bulk
Functional: GGA-PBE
Structure: relaxed

Unit cell a=5.5629 b=5.5629 c=11.8646 alpha=90.00 beta=90.00 gamma=120.00
Space group P6/mmm (No. 191)
Unique sites:
1 Ca 0.0000 0.0000 0.1776 x2
2 Ga 0.0000 0.5000 0.0000 x3
3 Ga 0.0000 0.5000 0.3364 x6
4 Ru 0.3333 0.6667 0.1682 x4
5 Ru 0.3333 0.6667 0.5000 x2

Spin magnetization: 0.0889 μB per atom
Energy: -90.9 eV per cell
DOS at the Fermi energy: 0.90 states/eV/atom
E_form: -232 meV/atom

Compound: CaGa3Ru2
Source: Alexandria via LeMat-Bulk
Functional: GGA-PBE
Structure: relaxed

Unit cell a=5.5673 b=5.5673 c=4.0041 alpha=90.00 beta=90.00 gamma=120.00
Space group P6/mmm (No. 191)
Unique sites:
1 Ca 0.0000 0.0000 0.0000 x1
2 Ga 0.0000 0.5000 0.5000 x3
3 Ru 0.3333 0.6667 0.0000 x2

Spin magnetization: 0.0007 μB per atom
Energy: -31.8 eV per cell
DOS at the Fermi energy: 0.88 states/eV/atom
E_form: -360 meV/atom

Compound: CaGa3Ru
Source: Alexandria via LeMat-Bulk
Functional: GGA-PBE
Structure: relaxed

Unit cell a=5.250 b=5.250 c=5.250 alpha=90.00 beta=90.00 gamma=90.00
Space group Pm-3m (No. 221)
Unique sites:
1 Ca 0.000 0.000 0.000 x1
2 Ga 0.000 0.000 0.500 x3
3 Ru 0.500 0.500 0.500 x1

Spin magnetization: 0.5379 μB per atom
Energy: -12.7 eV per cell
DOS at the Fermi energy: 1.22 states/eV/atom
Excess energy over the best structure of this formula in the dataset: 1.819 eV per atom
E_form: 1534 meV/atom

Compound: Ca2Ga5Ru
Source: Alexandria via LeMat-Bulk
Functional: GGA-PBE
Structure: relaxed

Unit cell a=5.905 b=5.905 c=10.419 alpha=90.00 beta=90.00 gamma=90.00
Space group I4mm (No. 107)
Unique sites:
1 Ca 0.000 0.500 0.000 x4
2 Ga 0.000 0.000 0.415 x2
3 Ga 0.229 0.229 0.237 x8
4 Ru 0.000 0.000 0.649 x2

Spin magnetization: 0.0000 μB per atom
Energy: -62.2 eV per cell
DOS at the Fermi energy: 0.39 states/eV/atom
E_form: -335 meV/atom

Compound: Ca3GaRu
Source: Alexandria via LeMat-Bulk
Functional: GGA-PBE
Structure: relaxed

Unit cell a=5.409 b=5.409 c=5.409 alpha=90.00 beta=90.00 gamma=90.00
Space group Pm-3m (No. 221)
Unique sites:
1 Ca 0.000 0.000 0.500 x3
2 Ga 0.500 0.500 0.500 x1
3 Ru 0.000 0.000 0.000 x1

Spin magnetization: 0.0000 μB per atom
Energy: -17.3 eV per cell
DOS at the Fermi energy: 0.76 states/eV/atom
Excess energy over the best structure of this formula in the dataset: 0.000 eV per atom
E_form: 208 meV/atom

Compound: CaGaRu
Source: Alexandria via LeMat-Bulk
Functional: GGA-PBE
Structure: relaxed

Unit cell a=4.3199 b=4.3199 c=3.8149 alpha=90.00 beta=90.00 gamma=120.00
Space group P-6m2 (No. 187)
Unique sites:
1 Ca 0.0000 0.0000 0.0000 x1
2 Ga 0.6667 0.3333 0.5000 x1
3 Ru 0.3333 0.6667 0.5000 x1

Spin magnetization: 0.0000 μB per atom
Energy: -14.9 eV per cell
DOS at the Fermi energy: 0.32 states/eV/atom
E_form: -198 meV/atom

Compound: CaGaRu
Source: Alexandria via LeMat-Bulk
Functional: GGA-PBE
Structure: relaxed

Unit cell a=3.370 b=3.370 c=10.348 alpha=90.00 beta=90.00 gamma=90.00
Space group I4mm (No. 107)
Unique sites:
1 Ca 0.000 0.000 0.000 x2
2 Ga 0.000 0.000 0.285 x2
3 Ru 0.000 0.000 0.703 x2

Spin magnetization: 0.0000 μB per atom
Energy: -30.0 eV per cell
DOS at the Fermi energy: 0.64 states/eV/atom
E_form: -238 meV/atom

Compound: CaGaRu2
Source: Alexandria via LeMat-Bulk
Functional: GGA-PBE
Structure: relaxed

Unit cell a=4.367 b=4.367 c=17.998 alpha=90.00 beta=90.00 gamma=90.00
Space group I-42d (No. 122)
Unique sites:
1 Ca 0.000 0.000 0.000 x4
2 Ga 0.000 0.000 0.500 x4
3 Ru 0.111 0.750 0.625 x8

Spin magnetization: 0.0000 μB per atom
Energy: -89.9 eV per cell
DOS at the Fermi energy: 0.86 states/eV/atom
E_form: 279 meV/atom

Compound: CaGa9Ru2
Source: Alexandria via LeMat-Bulk
Functional: GGA-PBE
Structure: relaxed

Unit cell a=11.021 b=11.021 c=6.801 alpha=90.00 beta=90.00 gamma=90.00
Space group I4_1/amd (No. 141, origin choice 2)
Unique sites:
1 Ca 0.000 0.250 0.375 x4
2 Ga 0.000 0.250 0.875 x4
3 Ga 0.121 0.055 0.678 x32
4 Ru 0.000 0.000 0.000 x8

Spin magnetization: 0.0000 μB per atom
Energy: -203.2 eV per cell
DOS at the Fermi energy: 0.43 states/eV/atom
E_form: -251 meV/atom

Compound: CaGa6Ru4
Source: Alexandria via LeMat-Bulk
Functional: GGA-PBE
Structure: relaxed

Unit cell a=6.519 b=6.519 c=9.662 alpha=90.00 beta=90.00 gamma=90.00
Space group I-42m (No. 121)
Unique sites:
1 Ca 0.000 0.000 0.000 x2
2 Ga 0.000 0.500 0.000 x4
3 Ga 0.187 0.187 0.714 x8
4 Ru 0.155 0.155 0.415 x8

Spin magnetization: 0.0000 μB per atom
Energy: -118.0 eV per cell
DOS at the Fermi energy: 0.72 states/eV/atom
E_form: -158 meV/atom

Compound: Ca3Ga8Ru3
Source: Alexandria via LeMat-Bulk
Functional: GGA-PBE
Structure: relaxed

Unit cell a=4.297 b=9.742 c=12.658 alpha=90.00 beta=90.00 gamma=90.00
Space group Immm (No. 71)
Unique sites:
1 Ca 0.000 0.000 0.000 x2
2 Ca 0.000 0.000 0.318 x4
3 Ga 0.000 0.290 0.118 x8
4 Ga 0.000 0.360 0.336 x8
5 Ru 0.000 0.217 0.500 x4
6 Ru 0.000 0.500 0.000 x2

Spin magnetization: 0.0000 μB per atom
Energy: -126.6 eV per cell
DOS at the Fermi energy: 0.56 states/eV/atom
E_form: -375 meV/atom

Compound: CaGa3Ru
Source: Alexandria via LeMat-Bulk
Functional: GGA-PBE
Structure: relaxed

Unit cell a=4.897 b=4.897 c=4.897 alpha=90.00 beta=90.00 gamma=90.00
Space group Pm-3m (No. 221)
Unique sites:
1 Ca 0.000 0.000 0.000 x1
2 Ga 0.000 0.500 0.500 x3
3 Ru 0.500 0.500 0.500 x1

Spin magnetization: 0.0000 μB per atom
Energy: -21.8 eV per cell
DOS at the Fermi energy: 1.26 states/eV/atom
Excess energy over the best structure of this formula in the dataset: 0.000 eV per atom
E_form: -285 meV/atom

Compound: CaGa4Ru
Source: Alexandria via LeMat-Bulk
Functional: GGA-PBE
Structure: relaxed

Unit cell a=4.515 b=6.174 c=7.664 alpha=90.00 beta=90.00 gamma=90.00
Space group Immm (No. 71)
Unique sites:
1 Ca 0.000 0.000 0.000 x2
2 Ga 0.000 0.221 0.338 x8
3 Ru 0.000 0.500 0.000 x2

Spin magnetization: 0.0004 μB per atom
Energy: -47.8 eV per cell
DOS at the Fermi energy: 0.73 states/eV/atom
E_form: -83 meV/atom

Compound: Ca3GaRu
Source: Alexandria via LeMat-Bulk
Functional: GGA-PBE
Structure: relaxed

Unit cell a=5.551 b=5.551 c=5.551 alpha=90.00 beta=90.00 gamma=90.00
Space group Pm-3m (No. 221)
Unique sites:
1 Ca 0.000 0.000 0.500 x3
2 Ga 0.000 0.000 0.000 x1
3 Ru 0.500 0.500 0.500 x1

Spin magnetization: 0.5937 μB per atom
Energy: -14.8 eV per cell
DOS at the Fermi energy: 0.46 states/eV/atom
Excess energy over the best structure of this formula in the dataset: 0.488 eV per atom
E_form: 696 meV/atom

Compound: CaSmGaRu
Source: Alexandria via LeMat-Bulk
Functional: GGA-PBE
Structure: relaxed

Unit cell a=7.075 b=7.075 c=7.075 alpha=90.00 beta=90.00 gamma=90.00
Space group F-43m (No. 216)
Unique sites:
1 Ca 0.000 0.000 0.000 x4
2 Sm 0.000 0.000 0.500 x4
3 Ga 0.250 0.250 0.250 x4
4 Ru 0.250 0.250 0.750 x4

Spin magnetization: 0.0000 μB per atom
Energy: -78.9 eV per cell
DOS at the Fermi energy: 1.05 states/eV/atom
E_form: -174 meV/atom